DFT (PBE) results for a geometry-optimized Ho3Er2Tm6Sc structure.

SG ... C2/m (12)
Total energy ... -55.638 eV/f.u.
Energy of formation ... 0.032 eV per atom

abc: 6.0267 6.0267 11.5417
angles: 94.99 94.99 119.94
With the nearest neighbours (Å) after each atom.
Element x y z (fractional)
Ho 0.0000 0.0000 0.0000  6 Ho 3.48, 6 Tm 3.50-3.51
Ho 0.3335 0.6665 0.0000  6 Ho 3.48, 6 Tm 3.50-3.51
Ho 0.6665 0.3335 0.0000  6 Ho 3.48, 6 Tm 3.50-3.51
Er 0.1666 0.8334 0.5000  6 Tm 3.46, 3 Er 3.48, 3 Sc 3.48
Er 0.8334 0.1666 0.5000  6 Tm 3.46, 3 Er 3.48, 3 Sc 3.48
Tm 0.0870 0.4183 0.2527  1 Sc 3.45, 6 Tm 3.46-3.49, 2 Er 3.46, 3 Ho 3.50-3.51
Tm 0.2504 0.2504 0.7475  1 Sc 3.45, 2 Er 3.46, 6 Tm 3.46-3.49, 3 Ho 3.50-3.51
Tm 0.4183 0.0870 0.2527  1 Sc 3.45, 6 Tm 3.46-3.49, 2 Er 3.46, 3 Ho 3.50-3.51
Tm 0.5817 0.9130 0.7473  1 Sc 3.45, 6 Tm 3.46-3.49, 2 Er 3.46, 3 Ho 3.50-3.51
Tm 0.7496 0.7496 0.2525  1 Sc 3.45, 2 Er 3.46, 6 Tm 3.46-3.49, 3 Ho 3.50-3.51
Tm 0.9130 0.5817 0.7473  1 Sc 3.45, 6 Tm 3.46-3.49, 2 Er 3.46, 3 Ho 3.50-3.51
Sc 0.5000 0.5000 0.5000  6 Tm 3.45, 6 Er 3.48


DFT (PBE) results for a geometry-optimized HfCCl2 structure.

SG ... I-42d (122)
Raw formation energy ... -0.3 eV/f.u.
Total energy ... -23.170 eV/f.u.
Offset from the most stable computed form ... 0 meV per atom

abc: 7.0274 7.0274 7.0274
angles: 95.36 95.36 144.40
With the nearest neighbours (Å) after each atom.
Element x y z (fractional)
Hf 0.0000 0.0000 0.0000  2 C 2.15
Hf 0.7500 0.2500 0.5000  2 C 2.15
C 0.2500 0.7500 0.5000  2 Hf 2.15
C 0.5000 0.5000 0.0000  2 Hf 2.15
Cl 0.3750 0.0385 0.1635  2 Hf 2.56
Cl 0.7885 0.6250 0.6635  2 Hf 2.56
Cl 0.8750 0.2115 0.8365  2 Hf 2.56
Cl 0.9615 0.1250 0.3365  2 Hf 2.56


DFT (PBE) results for a geometry-optimized UTlSe3S structure.

SG ... P2_1/m (11)
Raw formation energy ... -4.6 eV/f.u.
Total energy ... -32.798 eV/f.u.

abc: 8.8954 4.0323 10.3920
angles: 90.00 110.23 90.00
With the nearest neighbours (Å) after each atom.
Element x y z (fractional)
U 0.1783 0.2500 0.1799  6 Se 2.68-2.96, 2 S 2.73
U 0.8217 0.7500 0.8201  6 Se 2.68-2.96, 2 S 2.73
Tl 0.2222 0.7500 0.6720  3 Se 3.11-3.12
Tl 0.7778 0.2500 0.3280  3 Se 3.11-3.12
Se 0.0608 0.2500 0.8794  3 U 2.84-2.93
Se 0.1507 0.2500 0.4290  1 U 2.68
Se 0.3746 0.7500 0.1007  1 S 2.23
Se 0.6254 0.2500 0.8993  1 S 2.23
Se 0.8493 0.7500 0.5710  1 U 2.68
Se 0.9392 0.7500 0.1206  3 U 2.84-2.93
S 0.3777 0.7500 0.3159  1 Se 2.23
S 0.6223 0.2500 0.6841  1 Se 2.23


DFT (PBE) results for a geometry-optimized AcPr2ErS4 structure.

SG ... P2/m (10)
Raw formation energy ... -15.8 eV/f.u.
Total energy ... -50.499 eV/f.u.

abc: 7.0730 4.0406 7.2261
angles: 90.00 108.64 90.00
With the nearest neighbours (Å) after each atom.
Element x y z (fractional)
Ac 0.0000 0.0000 0.0000  6 S 2.95-2.96
Pr 0.5000 0.0000 0.5000  6 S 2.86
Pr 0.5000 0.5000 0.0000  6 S 3.01
Er 0.0000 0.5000 0.5000  6 S 2.80
S 0.2360 0.0000 0.7286  2 Er 2.80, 3 Pr 2.86-3.01, 1 Ac 2.95
S 0.2489 0.5000 0.2674  1 Er 2.80, 3 Pr 2.86-3.01, 2 Ac 2.96
S 0.7511 0.5000 0.7326  1 Er 2.80, 3 Pr 2.86-3.01, 2 Ac 2.96
S 0.7640 0.0000 0.2714  2 Er 2.80, 3 Pr 2.86-3.01, 1 Ac 2.95